(1)
DFT (SCAN) results for a crystal of Sc2CuGe2 relaxed with PBEsol.

Unit cell a=6.4670 b=6.4670 c=4.0717 alpha=90.00 beta=90.00 gamma=90.00
Space group P4/mbm (No. 127)
Inequivalent atoms, fractional coordinates:
Sc (0.1708, 0.3292, 0.0000) x4
Cu (0.0000, 0.0000, 0.5000) x2
Ge (0.1369, 0.6369, 0.5000) x4

Values from the calculation:
Uncorrected energy, eV per atom: -17.102
Calculated formation energy, eV per atom: -0.732
N(E_F), states/eV per cell: 4.81

---

(2)
DFT (SCAN) results for a crystal of YMg2Cd relaxed with PBEsol.

Unit cell a=3.2721 b=4.8081 c=6.2904 alpha=90.00 beta=105.00 gamma=90.00
Space group Pm (No. 6)
Inequivalent atoms, fractional coordinates:
Y (0.0000, 0.0000, 0.0000) x1
Mg (0.3419, 0.5000, 0.6849) x1
Mg (0.7375, 0.0000, 0.4770) x1
Cd (0.6057, 0.5000, 0.2123) x1

Values from the calculation:
Uncorrected energy, eV per atom: -17.250
Calculated formation energy, eV per atom: -0.199
N(E_F), states/eV per cell: 2.23

---

(3)
DFT (SCAN) results for a crystal of KSbMo2 relaxed with PBEsol.

Unit cell a=2.7896 b=5.3523 c=11.3041 alpha=90.00 beta=90.00 gamma=90.00
Space group Immm (No. 71)
Inequivalent atoms, fractional coordinates:
K (0.0000, 0.0000, 0.0000) x2
Sb (0.0000, 0.0000, 0.5000) x2
Mo (0.0000, 0.5000, 0.2106) x4

Values from the calculation:
Uncorrected energy, eV per atom: -27.766
Formation energy without anion corrections, meV/atom: 1074
N(E_F), states/eV per cell: 6.22

---

(4)
DFT (SCAN) results for a crystal of La3HIr relaxed with PBEsol.

Unit cell a=4.7727 b=4.7727 c=4.7727 alpha=90.00 beta=90.00 gamma=90.00
Space group Pm-3m (No. 221)
Inequivalent atoms, fractional coordinates:
La (0.0000, 0.0000, 0.5000) x3
H (0.0000, 0.0000, 0.0000) x1
Ir (0.5000, 0.5000, 0.5000) x1

Values from the calculation:
Uncorrected energy, eV per atom: -40.940
N(E_F), states/eV per cell: 6.40

---

(5)
DFT (SCAN) results for a crystal of HgMoBr relaxed with PBEsol.

Unit cell a=3.0619 b=5.6054 c=14.7617 alpha=90.00 beta=90.00 gamma=90.00
Space group Fmm2 (No. 42)
Inequivalent atoms, fractional coordinates:
Hg (0.0000, 0.0000, 0.0000) x4
Mo (0.0000, 0.0000, 0.3409) x4
Br (0.0000, 0.0000, 0.7072) x4

Values from the calculation:
Uncorrected energy, eV per atom: -40.299
Formation energy without anion corrections, meV/atom: 537
N(E_F), states/eV per cell: 5.16

---

(6)
DFT (SCAN) results for a crystal of BRh3Pb relaxed with PBEsol.

Unit cell a=4.1332 b=4.1332 c=4.1332 alpha=90.00 beta=90.00 gamma=90.00
Space group Pm-3m (No. 221)
Inequivalent atoms, fractional coordinates:
B (0.0000, 0.0000, 0.0000) x1
Rh (0.0000, 0.0000, 0.5000) x3
Pb (0.5000, 0.5000, 0.5000) x1

Values from the calculation:
Uncorrected energy, eV per atom: -37.098
Calculated formation energy, eV per atom: -0.193
N(E_F), states/eV per cell: 1.95

---

(7)
DFT (SCAN) results for a crystal of Fe2ReMo relaxed with PBEsol.

Unit cell a=5.1503 b=8.2383 c=2.5718 alpha=90.00 beta=106.57 gamma=90.00
Space group C2/m (No. 12)
Inequivalent atoms, fractional coordinates:
Fe (0.2500, 0.2500, 0.0000) x4
Re (0.0000, 0.0000, 0.5000) x2
Mo (0.0000, 0.5000, 0.5000) x2

Values from the calculation:
Uncorrected energy, eV per atom: -35.488
Calculated formation energy, eV per atom: 0.073
N(E_F), states/eV per cell: 5.26

---

(8)
DFT (SCAN) results for a crystal of SrAlW relaxed with PBEsol.

Unit cell a=6.7408 b=6.7408 c=6.7408 alpha=90.00 beta=90.00 gamma=90.00
Space group F-43m (No. 216)
Inequivalent atoms, fractional coordinates:
Sr (0.0000, 0.0000, 0.0000) x4
Al (0.0000, 0.0000, 0.5000) x4
W (0.2500, 0.2500, 0.7500) x4

Values from the calculation:
Uncorrected energy, eV per atom: -31.893
Calculated formation energy, eV per atom: 1.345
N(E_F), states/eV per cell: 2.22

---

(9)
DFT (SCAN) results for a crystal of BeSbAs2 relaxed with PBEsol.

Unit cell a=4.6481 b=4.6481 c=3.4449 alpha=90.00 beta=90.00 gamma=90.00
Space group P4/mmm (No. 123)
Inequivalent atoms, fractional coordinates:
Be (0.0000, 0.0000, 0.0000) x1
Sb (0.5000, 0.5000, 0.0000) x1
As (0.0000, 0.5000, 0.5000) x2

Values from the calculation:
Uncorrected energy, eV per atom: -19.838
Formation energy without anion corrections, meV/atom: 661
N(E_F), states/eV per cell: 1.81

---

(10)
DFT (SCAN) results for a crystal of ReNCl4 relaxed with PBEsol.

Unit cell a=8.3316 b=8.3316 c=3.9656 alpha=90.00 beta=90.00 gamma=90.00
Space group I4 (No. 79)
Inequivalent atoms, fractional coordinates:
Re (0.0000, 0.0000, 0.0000) x2
N (0.0000, 0.0000, 0.5717) x2
Cl (0.0760, 0.2608, 0.0845) x8

Values from the calculation:
Uncorrected energy, eV per atom: -19.182
Formation energy without anion corrections, meV/atom: -466

---

(11)
DFT (SCAN) results for a crystal of FeSiTe2N relaxed with PBEsol.

Unit cell a=5.4789 b=5.4789 c=3.2267 alpha=90.00 beta=90.00 gamma=90.00
Space group P4/mmm (No. 123)
Inequivalent atoms, fractional coordinates:
Fe (0.0000, 0.0000, 0.0000) x1
Si (0.5000, 0.5000, 0.5000) x1
Te (0.0000, 0.5000, 0.5000) x2
N (0.5000, 0.5000, 0.0000) x1

Values from the calculation:
Uncorrected energy, eV per atom: -21.990
Formation energy without anion corrections, meV/atom: 398
N(E_F), states/eV per cell: 2.80

---

(12)
DFT (SCAN) results for a crystal of In3BiSe relaxed with PBEsol.

Unit cell a=5.3546 b=5.3546 c=5.3546 alpha=90.00 beta=90.00 gamma=90.00
Space group Pm-3m (No. 221)
Inequivalent atoms, fractional coordinates:
In (0.0000, 0.0000, 0.5000) x3
Bi (0.5000, 0.5000, 0.5000) x1
Se (0.0000, 0.0000, 0.0000) x1

Values from the calculation:
Uncorrected energy, eV per atom: -39.472
Formation energy without anion corrections, meV/atom: 291
N(E_F), states/eV per cell: 2.42